A.
Computed, not measured: an optimized crystal structure of PaCu2I6 at the PBE level of DFT.

Cell: 7.9781 12.3434 12.3434 Å, 65.81 54.76 54.76°
With the nearest neighbours (Å) after each atom.
Fractional coordinates of all 18 atoms:
Pa 0.2500 0.2330 0.7670  4 I 2.92-3.05, 2 Cu 3.21
Pa 0.7500 0.7670 0.2330  4 I 2.92-3.05, 2 Cu 3.21
Cu 0.3631 0.4820 0.6251  4 I 2.57-2.80, 1 Cu 2.59
Cu 0.1369 0.3749 0.5180  4 I 2.57-2.80, 1 Cu 2.59
Cu 0.6369 0.5180 0.3749  4 I 2.57-2.80, 1 Cu 2.59
Cu 0.8631 0.6251 0.4820  4 I 2.57-2.80, 1 Cu 2.59
I 0.4175 0.6958 0.5437  3 Cu 2.61-2.80
I 0.0825 0.4563 0.3042  3 Cu 2.61-2.80
I 0.5825 0.3042 0.4563  3 Cu 2.61-2.80
I 0.9175 0.5437 0.6958  3 Cu 2.61-2.80
I 0.8801 0.8480 0.3660  1 Cu 2.57
I 0.6199 0.6340 0.1520  1 Cu 2.57
I 0.1199 0.1520 0.6340  1 Cu 2.57
I 0.3801 0.3660 0.8480  1 Cu 2.57
I 0.1275 0.7764 0.9677  1 Pa 2.92
I 0.3725 0.0323 0.2236  1 Pa 2.92
I 0.8725 0.2236 0.0323  1 Pa 2.92
I 0.6275 0.9677 0.7764  1 Pa 2.92

---

B.
Computed, not measured: an optimized crystal structure of PaCu2I6 at the PBE level of DFT.

Cell: 7.6700 10.0616 10.0616 Å, 79.33 83.53 83.53°
With the nearest neighbours (Å) after each atom.
Fractional coordinates of all 18 atoms:
Pa 0.2500 0.0957 0.9043  6 I 2.96-3.11
Pa 0.7500 0.9043 0.0957  6 I 2.96-3.11
Cu 0.2083 0.5252 0.6550  3 I 2.50-2.68, 1 Cu 2.77
Cu 0.2917 0.3450 0.4748  3 I 2.50-2.68, 1 Cu 2.77
Cu 0.7917 0.4748 0.3450  3 I 2.50-2.68, 1 Cu 2.77
Cu 0.7083 0.6550 0.5252  3 I 2.50-2.68, 1 Cu 2.77
I 0.3807 0.7116 0.5235  2 Cu 2.50-2.51
I 0.1193 0.4765 0.2884  2 Cu 2.50-2.51
I 0.6193 0.2884 0.4765  2 Cu 2.50-2.51
I 0.8807 0.5235 0.7116  2 Cu 2.50-2.51
I 0.8616 0.8664 0.3732  1 Cu 2.68, 1 Pa 2.96
I 0.6384 0.6268 0.1336  1 Cu 2.68, 1 Pa 2.96
I 0.1384 0.1336 0.6268  1 Cu 2.68, 1 Pa 2.96
I 0.3616 0.3732 0.8664  1 Cu 2.68, 1 Pa 2.96
I 0.1113 0.8095 0.9589  2 Pa 3.08-3.11
I 0.3887 0.0411 0.1905  2 Pa 3.08-3.11
I 0.8887 0.1905 0.0411  2 Pa 3.08-3.11
I 0.6113 0.9589 0.8095  2 Pa 3.08-3.11

---

Which structure above is the least stable one? B is the least stable one.